Here is a relaxed ReTcW crystal from Alexandria. Energies are from PBE-GGA.

Cell lengths 6.500, 6.500, 6.103 Å; angles 113.87, 113.87, 103.88 degrees
Fractional positions:
W 0.985 0.361 0.771
Re 0.799 0.677 0.741
W 0.590 0.214 0.229
Tc 0.135 0.014 0.738
Tc 0.277 0.398 0.262
Re 0.309 0.686 0.759
W 0.464 0.340 0.729
Re 0.927 0.549 0.241
Tc 0.264 0.885 0.238
Re 0.936 0.059 0.259
Tc 0.648 0.027 0.762
W 0.611 0.735 0.271

Calculated values
Space-group type: Fdd2 (43)
Energy above the most stable polymorph in this dataset in meV per atom: 254.2

---

Here is a relaxed Re2TcW crystal from Alexandria. Energies are from PBE-GGA.

Cell lengths 3.120, 3.120, 6.294 Å; angles 90.00, 90.00, 90.00 degrees
Fractional positions:
Tc 0.000 0.000 0.514
W 0.500 0.500 0.744
Re 0.500 0.500 0.243
Re 0.000 0.000 0.999

Calculated values
Space-group type: P4mm (99)
Energy above the most stable polymorph in this dataset in meV per atom: 80.7

---

Here is a relaxed Re2TcW crystal from Alexandria. Energies are from PBE-GGA.

Cell lengths 2.708, 2.708, 8.823 Å; angles 90.00, 90.00, 109.33 degrees
Fractional positions:
Tc 0.500 0.500 0.250
W 0.500 0.500 0.750
Re 0.000 0.000 0.003
Re 0.000 0.000 0.497

Calculated values
Space-group type: Cmmm (65)
Energy above the most stable polymorph in this dataset in meV per atom: 87.6

---

Here is a relaxed Re12Tc6W crystal from Alexandria. Energies are from PBE-GGA.

Cell lengths 4.774, 7.502, 8.578 Å; angles 78.05, 76.16, 76.17 degrees
Fractional positions:
Re 0.990 0.577 0.636
Re 0.010 0.423 0.364
Tc 0.048 0.780 0.324
Re 0.732 0.944 0.574
Re 0.524 0.681 0.481
Tc 0.094 0.623 0.052
Re 0.369 0.261 0.106
W 0.000 0.000 0.000
Re 0.452 0.479 0.791
Re 0.535 0.887 0.165
Re 0.465 0.113 0.835
Tc 0.813 0.155 0.270
Re 0.476 0.319 0.519
Tc 0.906 0.377 0.948
Re 0.548 0.521 0.209
Re 0.631 0.739 0.894
Tc 0.952 0.220 0.676
Tc 0.187 0.845 0.730
Re 0.268 0.056 0.426

Calculated values
Space-group type: P-1 (2)

---

no.,calculated density (g/cm³),final energy (eV for the cell shown)
1,16.46,-138.6
2,17.73,-47.4
3,17.79,-47.4
4,17.46,-222.9